DFT (meta-GGA SCAN) results for a crystal of Sr2FeAg relaxed with PBEsol.

Geometry as CIF:
```
data_Sr2FeAg
_chemical_formula_sum 'Sr2 Fe1 Ag1'
_cell_length_a 3.712
_cell_length_b 3.710
_cell_length_c 7.703
_cell_angle_alpha 89.98
_cell_angle_beta 90.00
_cell_angle_gamma 90.00
_space_group_name_H-M_alt 'P 1'
_space_group_IT_number 1
loop_
_space_group_symop_operation_xyz
'x,y,z'
loop_
_atom_site_label
_atom_site_type_symbol
_atom_site_fract_x
_atom_site_fract_y
_atom_site_fract_z
Sr1 Sr 0.000 0.999 0.257
Sr2 Sr 0.000 0.001 0.743
Fe1 Fe 0.500 0.500 0.500
Ag1 Ag 0.500 0.500 0.000
```

Properties
**ρ**: 5.3 Mg/m³
**Energy**: -23.252 eV/atom
**Energy relative to the elements**: 260 meV/atom
**SG**: P4/mmm


DFT (meta-GGA SCAN) results for a crystal of Ta2FeAg relaxed with PBEsol.

Geometry as CIF:
```
data_Ta2FeAg
_chemical_formula_sum 'Ta2 Fe1 Ag1'
_cell_length_a 2.781
_cell_length_b 4.448
_cell_length_c 5.058
_cell_angle_alpha 90.00
_cell_angle_beta 97.21
_cell_angle_gamma 90.00
_space_group_name_H-M_alt 'P 1'
_space_group_IT_number 1
loop_
_space_group_symop_operation_xyz
'x,y,z'
loop_
_atom_site_label
_atom_site_type_symbol
_atom_site_fract_x
_atom_site_fract_y
_atom_site_fract_z
Ta1 Ta 0.004 0.000 0.946
Ag1 Ag 0.372 0.000 0.476
Fe1 Fe 0.356 0.500 0.807
Ta2 Ta 0.768 0.500 0.270
```

Properties
**ρ**: 14.1 Mg/m³
**Energy**: -45.330 eV/atom
**Energy above the lowest structure with this stoichiometry**: 3.391 kcal/mol of atoms
**Energy relative to the elements**: 336 meV/atom
**SG**: Pm


DFT (meta-GGA SCAN) results for a crystal of Ta2FeAg relaxed with PBEsol.

Geometry as CIF:
```
data_Ta2FeAg
_chemical_formula_sum 'Ta2 Fe1 Ag1'
_cell_length_a 2.857
_cell_length_b 3.758
_cell_length_c 5.706
_cell_angle_alpha 90.00
_cell_angle_beta 90.00
_cell_angle_gamma 90.00
_space_group_name_H-M_alt 'P 1'
_space_group_IT_number 1
loop_
_space_group_symop_operation_xyz
'x,y,z'
loop_
_atom_site_label
_atom_site_type_symbol
_atom_site_fract_x
_atom_site_fract_y
_atom_site_fract_z
Ag1 Ag 0.500 0.500 0.000
Ta1 Ta 0.000 0.000 0.273
Ta2 Ta 0.000 0.000 0.727
Fe1 Fe 0.500 0.500 0.500
```

Properties
**ρ**: 14.2 Mg/m³
**Energy**: -45.386 eV/atom
**Energy above the lowest structure with this stoichiometry**: 2.092 kcal/mol of atoms
**Energy relative to the elements**: 280 meV/atom
**SG**: Pmmm


DFT (meta-GGA SCAN) results for a crystal of Ta2FeAg relaxed with PBEsol.

Geometry as CIF:
```
data_Ta2FeAg
_chemical_formula_sum 'Ta2 Fe1 Ag1'
_cell_length_a 2.801
_cell_length_b 2.801
_cell_length_c 7.841
_cell_angle_alpha 90.00
_cell_angle_beta 90.00
_cell_angle_gamma 90.11
_space_group_name_H-M_alt 'P 1'
_space_group_IT_number 1
loop_
_space_group_symop_operation_xyz
'x,y,z'
loop_
_atom_site_label
_atom_site_type_symbol
_atom_site_fract_x
_atom_site_fract_y
_atom_site_fract_z
Ta1 Ta 0.000 0.000 0.213
Fe1 Fe 0.500 0.500 0.000
Ta2 Ta 0.000 0.000 0.787
Ag1 Ag 0.500 0.500 0.500
```

Properties
**ρ**: 14.2 Mg/m³
**Energy**: -45.477 eV/atom
**Energy above the lowest structure with this stoichiometry**: 0.000 kcal/mol of atoms
**Energy relative to the elements**: 189 meV/atom
**SG**: Cmmm


DFT (meta-GGA SCAN) results for a crystal of Fe2TcAg relaxed with PBEsol.

Geometry as CIF:
```
data_Fe2TcAg
_chemical_formula_sum 'Fe2 Tc1 Ag1'
_cell_length_a 2.637
_cell_length_b 2.637
_cell_length_c 7.525
_cell_angle_alpha 90.00
_cell_angle_beta 90.00
_cell_angle_gamma 90.00
_space_group_name_H-M_alt 'P 1'
_space_group_IT_number 1
loop_
_space_group_symop_operation_xyz
'x,y,z'
loop_
_atom_site_label
_atom_site_type_symbol
_atom_site_fract_x
_atom_site_fract_y
_atom_site_fract_z
Ag1 Ag 0.500 0.500 0.760
Fe1 Fe 0.500 0.500 0.246
Fe2 Fe 0.000 0.000 0.031
Tc1 Tc 0.000 0.000 0.463
```

Properties
**ρ**: 10.1 Mg/m³
**Energy**: -25.389 eV/atom
**Energy above the lowest structure with this stoichiometry**: 0.000 kcal/mol of atoms
**Energy relative to the elements**: 283 meV/atom
**SG**: P4mm


DFT (meta-GGA SCAN) results for a crystal of Fe3TcAg relaxed with PBEsol.

Geometry as CIF:
```
data_Fe3TcAg
_chemical_formula_sum 'Fe3 Tc1 Ag1'
_cell_length_a 4.501
_cell_length_b 4.501
_cell_length_c 4.501
_cell_angle_alpha 90.00
_cell_angle_beta 90.00
_cell_angle_gamma 90.00
_space_group_name_H-M_alt 'P 1'
_space_group_IT_number 1
loop_
_space_group_symop_operation_xyz
'x,y,z'
loop_
_atom_site_label
_atom_site_type_symbol
_atom_site_fract_x
_atom_site_fract_y
_atom_site_fract_z
Tc1 Tc 0.500 0.500 0.500
Fe1 Fe 0.000 0.000 0.500
Fe2 Fe 0.000 0.500 0.000
Ag1 Ag 0.000 0.000 0.000
Fe3 Fe 0.500 0.000 0.000
```

Properties
**ρ**: 6.8 Mg/m³
**Energy**: -22.349 eV/atom
**Energy relative to the elements**: 1815 meV/atom
**SG**: Pm-3m


DFT (meta-GGA SCAN) results for a crystal of Fe2TcAg relaxed with PBEsol.

Geometry as CIF:
```
data_Fe2TcAg
_chemical_formula_sum 'Fe2 Tc1 Ag1'
_cell_length_a 2.810
_cell_length_b 4.359
_cell_length_c 4.359
_cell_angle_alpha 90.00
_cell_angle_beta 90.00
_cell_angle_gamma 90.00
_space_group_name_H-M_alt 'P 1'
_space_group_IT_number 1
loop_
_space_group_symop_operation_xyz
'x,y,z'
loop_
_atom_site_label
_atom_site_type_symbol
_atom_site_fract_x
_atom_site_fract_y
_atom_site_fract_z
Fe1 Fe 0.000 0.000 0.500
Ag1 Ag 0.500 0.000 0.000
Tc1 Tc 0.500 0.500 0.500
Fe2 Fe 0.000 0.500 0.000
```

Properties
**ρ**: 9.9 Mg/m³
**Energy**: -25.304 eV/atom
**Energy above the lowest structure with this stoichiometry**: 1.947 kcal/mol of atoms
**Energy relative to the elements**: 367 meV/atom
**SG**: P4/mmm


DFT (meta-GGA SCAN) results for a crystal of Fe2TcAg relaxed with PBEsol.

Geometry as CIF:
```
data_Fe2TcAg
_chemical_formula_sum 'Fe2 Tc1 Ag1'
_cell_length_a 4.198
_cell_length_b 4.198
_cell_length_c 4.198
_cell_angle_alpha 60.00
_cell_angle_beta 60.00
_cell_angle_gamma 60.00
_space_group_name_H-M_alt 'P 1'
_space_group_IT_number 1
loop_
_space_group_symop_operation_xyz
'x,y,z'
loop_
_atom_site_label
_atom_site_type_symbol
_atom_site_fract_x
_atom_site_fract_y
_atom_site_fract_z
Fe1 Fe 0.250 0.250 0.250
Tc1 Tc 0.500 0.500 0.500
Ag1 Ag 0.000 0.000 0.000
Fe2 Fe 0.750 0.750 0.750
```

Properties
**ρ**: 10.1 Mg/m³
**Energy**: -25.191 eV/atom
**Energy above the lowest structure with this stoichiometry**: 4.561 kcal/mol of atoms
**Energy relative to the elements**: 481 meV/atom
**SG**: Fm-3m